A relaxed structure of Tc2AgTe, computed with PBE-GGA. Values from VASP.

The structure in Quantum ESPRESSO input format:
```
&SYSTEM
  ibrav = 0, nat = 4, ntyp = 3
/
ATOMIC_SPECIES
Tc 98.00 Tc.upf
Ag 107.87 Ag.upf
Te 127.60 Te.upf
CELL_PARAMETERS angstrom
-7.979 -0.843 3.539
-6.260 -1.996 5.807
-6.678 1.038 5.588
ATOMIC_POSITIONS crystal
Tc 0.506 0.506 0.506
Tc 0.994 0.994 0.994
Ag 0.750 0.750 0.750
Te 0.250 0.250 0.250
```

Properties
The density of states at the Fermi level is 1.06 states/eV per atom. As for the calculated total energy: -6.03 eV per atom. For the raw formation energy, the calculation gives 2.6 eV/f.u. The calculation puts the calculated density at 10.21 g/cm3. As for the space-group type: R-3m (166).

---

A relaxed structure of Ir2AuSe, computed with PBE-GGA. Values from VASP.

The structure in Quantum ESPRESSO input format:
```
&SYSTEM
  ibrav = 0, nat = 4, ntyp = 3
/
ATOMIC_SPECIES
Au 196.97 Au.upf
Se 78.96 Se.upf
Ir 192.22 Ir.upf
CELL_PARAMETERS angstrom
2.991 0.000 0.000
0.000 2.991 0.000
0.000 0.000 7.161
ATOMIC_POSITIONS crystal
Au 0.500 0.500 0.750
Se 0.500 0.500 0.250
Ir 0.000 0.000 0.024
Ir 0.000 0.000 0.476
```

Properties
The density of states at the Fermi level is 1.18 states/eV per atom. As for the calculated total energy: -5.63 eV per atom. For the raw formation energy, the calculation gives 2.0 eV/f.u. The calculation puts the calculated density at 17.12 g/cm3. As for the space-group type: P4/mmm (123).

---

A relaxed structure of BaBPCl2, computed with PBE-GGA. Values from VASP.

The structure in Quantum ESPRESSO input format:
```
&SYSTEM
  ibrav = 0, nat = 5, ntyp = 4
/
ATOMIC_SPECIES
Ba 137.33 Ba.upf
Cl 35.45 Cl.upf
B 10.81 B.upf
P 30.97 P.upf
CELL_PARAMETERS angstrom
5.689 0.000 0.000
0.000 5.689 0.000
0.000 0.000 3.597
ATOMIC_POSITIONS crystal
Ba 0.500 0.500 0.500
Cl 0.000 0.500 0.000
Cl 0.500 0.000 0.000
B 0.000 0.000 0.000
P 0.000 0.000 0.500
```

Properties
The density of states at the Fermi level is 0.19 states/eV per atom. As for the calculated total energy: -4.08 eV per atom. The calculation puts the polymorph energy (0 for the lowest one) at 0 meV/atom. For the raw formation energy, the calculation gives -2.7 eV/f.u. The calculation puts the calculated density at 3.57 g/cm3. As for the space-group type: P4/mmm (123).

---

A relaxed structure of ThSiN3, computed with PBE-GGA. Values from VASP.

The structure in Quantum ESPRESSO input format:
```
&SYSTEM
  ibrav = 0, nat = 10, ntyp = 3
/
ATOMIC_SPECIES
Si 28.09 Si.upf
N 14.01 N.upf
Th 232.04 Th.upf
CELL_PARAMETERS angstrom
3.387 0.000 -0.122
0.000 6.079 0.000
-1.454 0.000 6.680
ATOMIC_POSITIONS crystal
Si 0.580 0.750 0.159
Si 0.420 0.250 0.841
N 0.656 0.979 0.313
N 0.656 0.521 0.313
N 0.344 0.021 0.687
N 0.018 0.750 0.036
N 0.982 0.250 0.964
N 0.344 0.479 0.687
Th 0.177 0.250 0.353
Th 0.823 0.750 0.647
```

Properties
The density of states at the Fermi level is 0.31 states/eV per atom. As for the calculated total energy: -8.44 eV per atom. For the raw formation energy, the calculation gives -4.4 eV/f.u. The calculation puts the calculated density at 7.35 g/cm3. As for the space-group type: Cmcm (63).

---

A relaxed structure of Na2LaUS6, computed with PBE-GGA. Values from VASP.

The structure in Quantum ESPRESSO input format:
```
&SYSTEM
  ibrav = 0, nat = 20, ntyp = 4
/
ATOMIC_SPECIES
U 238.03 U.upf
S 32.06 S.upf
Na 22.99 Na.upf
La 138.91 La.upf
CELL_PARAMETERS angstrom
7.011 0.000 0.017
0.000 7.487 0.000
0.087 0.000 9.841
ATOMIC_POSITIONS crystal
U 0.000 0.500 0.000
U 0.500 0.000 0.500
S 0.856 0.554 0.233
S 0.824 0.782 0.919
S 0.176 0.218 0.081
S 0.214 0.189 0.430
S 0.644 0.054 0.267
S 0.714 0.311 0.930
S 0.676 0.282 0.581
S 0.144 0.446 0.767
S 0.356 0.946 0.733
S 0.786 0.811 0.570
S 0.324 0.718 0.419
S 0.286 0.689 0.070
Na 0.471 0.421 0.246
Na 0.529 0.579 0.754
Na 0.029 0.921 0.254
Na 0.971 0.079 0.746
La 0.000 0.500 0.500
La 0.500 0.000 0.000
```

Properties
The density of states at the Fermi level is 0.96 states/eV per atom. As for the calculated total energy: -5.60 eV per atom. For the raw formation energy, the calculation gives -12.4 eV/f.u. The calculation puts the calculated density at 3.96 g/cm3. As for the space-group type: P2_1/c (14).

---

A relaxed structure of La6AlIn2, computed with PBE-GGA. Values from VASP.

The structure in Quantum ESPRESSO input format:
```
&SYSTEM
  ibrav = 0, nat = 9, ntyp = 3
/
ATOMIC_SPECIES
In 114.82 In.upf
La 138.91 La.upf
Al 26.98 Al.upf
CELL_PARAMETERS angstrom
-3.589 3.003 -0.011
-0.876 -1.017 8.468
5.143 6.136 -3.072
ATOMIC_POSITIONS crystal
In 0.000 0.667 0.333
In 0.000 0.333 0.667
La 0.500 0.592 0.000
La 0.500 0.000 0.592
La 0.500 0.408 0.408
La 0.000 0.257 0.000
La 0.000 0.743 0.743
La 0.000 0.000 0.257
Al 0.500 0.000 0.000
```

Properties
The density of states at the Fermi level is 1.43 states/eV per atom. The calculation puts the formation energy at -269 kJ/mol of formula units. As for the calculated total energy: -4.62 eV per atom. The calculation puts the calculated density at 6.07 g/cm3. As for the space-group type: P-62m (189).

---

A relaxed structure of TbHoPt6, computed with PBE-GGA. Values from VASP.

The structure in Quantum ESPRESSO input format:
```
&SYSTEM
  ibrav = 0, nat = 8, ntyp = 3
/
ATOMIC_SPECIES
Pt 195.08 Pt.upf
Tb 158.93 Tb.upf
Ho 164.93 Ho.upf
CELL_PARAMETERS angstrom
-0.594 -3.257 -2.452
-1.307 -2.195 3.232
-7.721 2.486 -1.433
ATOMIC_POSITIONS crystal
Pt 0.500 0.500 0.000
Pt 0.500 0.000 0.252
Pt 0.000 0.500 0.748
Pt 0.500 0.500 0.500
Pt 0.000 0.500 0.252
Pt 0.500 0.000 0.748
Tb 0.000 0.000 0.000
Ho 0.000 0.000 0.500
```

Properties
The density of states at the Fermi level is 0.95 states/eV per atom. The calculation puts the formation energy at -800 kJ/mol of formula units. As for the calculated total energy: -6.72 eV per atom. The calculation puts the calculated density at 17.75 g/cm3. As for the space-group type: P4/mmm (123).

---

A relaxed structure of Mg11Pb3, computed with PBE-GGA. Values from VASP.

The structure in Quantum ESPRESSO input format:
```
&SYSTEM
  ibrav = 0, nat = 14, ntyp = 2
/
ATOMIC_SPECIES
Mg 24.30 Mg.upf
Pb 207.20 Pb.upf
CELL_PARAMETERS angstrom
-1.707 -3.655 -3.023
6.134 -0.876 -6.607
0.667 -7.697 4.727
ATOMIC_POSITIONS crystal
Mg 0.664 0.731 0.941
Mg 0.159 0.065 0.617
Mg 0.336 0.269 0.059
Mg 0.841 0.935 0.383
Mg 0.841 0.383 0.935
Mg 0.336 0.059 0.269
Mg 0.664 0.941 0.731
Mg 0.500 0.305 0.695
Mg 0.500 0.695 0.305
Mg 0.159 0.617 0.065
Mg 0.000 0.500 0.500
Pb 0.000 0.000 0.000
Pb 0.675 0.325 0.325
Pb 0.325 0.675 0.675
```

Properties
The density of states at the Fermi level is 0.43 states/eV per atom. The calculation puts the formation energy at 89 kJ/mol of formula units. As for the calculated total energy: -1.98 eV per atom. The calculation puts the calculated density at 4.14 g/cm3. As for the space-group type: Immm (71).

---

A relaxed structure of Pr4MgTl2, computed with PBE-GGA. Values from VASP.

The structure in Quantum ESPRESSO input format:
```
&SYSTEM
  ibrav = 0, nat = 7, ntyp = 3
/
ATOMIC_SPECIES
Pr 140.91 Pr.upf
Mg 24.30 Mg.upf
Tl 204.38 Tl.upf
CELL_PARAMETERS angstrom
5.227 0.000 1.633
2.358 4.664 1.633
-0.023 -0.014 9.256
ATOMIC_POSITIONS crystal
Pr 0.132 0.132 0.603
Pr 0.614 0.614 0.159
Pr 0.868 0.868 0.397
Pr 0.386 0.386 0.841
Mg 0.000 0.000 0.000
Tl 0.742 0.742 0.775
Tl 0.258 0.258 0.225
```

Properties
The density of states at the Fermi level is 0.98 states/eV per atom. The calculation puts the formation energy at -136 kJ/mol of formula units. As for the calculated total energy: -3.84 eV per atom. The calculation puts the polymorph energy (0 for the lowest one) at 0 meV/atom. The calculation puts the calculated density at 7.33 g/cm3. As for the space-group type: R-3m (166).

---

A relaxed structure of CePu2Cl8, computed with PBE-GGA. Values from VASP.

The structure in Quantum ESPRESSO input format:
```
&SYSTEM
  ibrav = 0, nat = 11, ntyp = 3
/
ATOMIC_SPECIES
Cl 35.45 Cl.upf
Pu 244.00 Pu.upf
Ce 140.12 Ce.upf
CELL_PARAMETERS angstrom
-2.669 0.013 -5.156
-2.077 -6.717 2.663
-3.700 5.508 3.535
ATOMIC_POSITIONS crystal
Cl 0.373 0.931 0.669
Cl 0.176 0.354 0.354
Cl 0.791 0.650 0.650
Cl 0.585 0.341 0.079
Cl 0.990 0.787 0.213
Cl 0.373 0.669 0.931
Cl 0.585 0.079 0.341
Cl 0.990 0.213 0.787
Pu 0.478 0.687 0.321
Pu 0.478 0.321 0.687
Ce 0.178 0.003 0.003
```

Properties
The density of states at the Fermi level is 2.87 states/eV per atom. As for the calculated total energy: -6.47 eV per atom. The calculation puts the polymorph energy (0 for the lowest one) at 0 meV/atom. For the raw formation energy, the calculation gives -21.8 eV/f.u. The calculation puts the calculated density at 5.23 g/cm3. As for the space-group type: Cm (8).

---

A relaxed structure of Na4Ca, computed with PBE-GGA. Values from VASP.

The structure in Quantum ESPRESSO input format:
```
&SYSTEM
  ibrav = 0, nat = 5, ntyp = 2
/
ATOMIC_SPECIES
Na 22.99 Na.upf
Ca 40.08 Ca.upf
CELL_PARAMETERS angstrom
-3.609 0.778 -0.960
-2.795 -0.459 2.555
-0.257 14.545 5.180
ATOMIC_POSITIONS crystal
Na 0.199 0.199 0.403
Na 0.402 0.402 0.794
Na 0.801 0.801 0.597
Na 0.598 0.598 0.206
Ca 0.000 0.000 0.000
```

Properties
The density of states at the Fermi level is 0.70 states/eV per atom. The calculation puts the formation energy at 18 kJ/mol of formula units. As for the calculated total energy: -1.42 eV per atom. The calculation puts the polymorph energy (0 for the lowest one) at 1 meV/atom. The calculation puts the calculated density at 1.14 g/cm3. As for the space-group type: R-3m (166).

---

A relaxed structure of TbCo3SiB, computed with PBE-GGA. Values from VASP.

The structure in Quantum ESPRESSO input format:
```
&SYSTEM
  ibrav = 0, nat = 12, ntyp = 4
/
ATOMIC_SPECIES
B 10.81 B.upf
Co 58.93 Co.upf
Tb 158.93 Tb.upf
Si 28.09 Si.upf
CELL_PARAMETERS angstrom
-1.064 0.484 5.352
1.194 -5.133 0.702
4.632 3.909 0.567
ATOMIC_POSITIONS crystal
B 0.750 0.008 0.015
B 0.250 0.992 0.985
Co 0.750 0.828 0.656
Co 0.500 0.254 0.000
Co 0.000 0.254 0.000
Co 0.500 0.746 0.000
Co 0.000 0.746 0.000
Co 0.250 0.172 0.344
Tb 0.250 0.738 0.476
Tb 0.750 0.262 0.524
Si 0.250 0.374 0.749
Si 0.750 0.626 0.251
```

Properties
The density of states at the Fermi level is 0.87 states/eV per atom. As for the calculated total energy: -6.75 eV per atom. For the raw formation energy, the calculation gives -2.4 eV/f.u. The calculation puts the calculated density at 7.80 g/cm3. As for the space-group type: Cmcm (63).

---

> Which formula does entry 2 have?

Ir2AuSe